First-principles (GGA+U) data for a geometry-optimized FeGeNF2 structure, as listed in Alexandria.

Lattice parameters (Å, degrees): 3.960 3.960 4.088 90.00 90.00 90.00
Site moments in Bohr magnetons follow the coordinates.
Element x y z (fractional)
Ge  0.500  0.500  0.500  0.03
N  0.000  0.000  0.500  0.25
Fe  0.000  0.000  0.000  4.32
F  0.000  0.500  0.000  0.10
F  0.500  0.000  0.000  0.10

Computed properties:
Excess energy over the best structure of this formula in the dataset = 0.0000 eV/atom
Space group = P4/mmm (123)
Uncorrected energy = -5.10 eV/atom
Size of the total moment = 5.0 μB per formula unit